A geometry-optimized Na2LiTlBr structure, computed with PBE.

Unit cell a=6.225 b=6.225 c=4.541 alpha=90.00 beta=90.00 gamma=90.00
Sites, in units of the cell vectors:
Na: 0.000 0.500 0.000
Na: 0.500 0.000 0.000
Li: 0.000 0.000 0.000
Tl: 0.500 0.500 0.500
Br: 0.000 0.000 0.500

Computed properties:
ΔE_f (raw) in eV per formula unit: -1.41

A geometry-optimized Hg12Se5S3 structure, computed with PBE.

Unit cell a=14.297 b=14.297 c=14.297 alpha=109.47 beta=109.47 gamma=109.47
Sites, in units of the cell vectors:
Hg: 0.060 0.236 0.121
Hg: 0.060 0.324 0.939
Hg: 0.061 0.621 0.385
Hg: 0.061 0.940 0.676
Hg: 0.115 0.736 0.676
Hg: 0.115 0.879 0.439
Hg: 0.121 0.060 0.236
Hg: 0.121 0.561 0.885
Hg: 0.176 0.236 0.615
Hg: 0.176 0.440 0.561
Hg: 0.236 0.121 0.060
Hg: 0.236 0.615 0.176
Hg: 0.264 0.324 0.885
Hg: 0.264 0.440 0.379
Hg: 0.324 0.885 0.264
Hg: 0.324 0.939 0.060
Hg: 0.379 0.264 0.440
Hg: 0.379 0.615 0.939
Hg: 0.385 0.061 0.621
Hg: 0.385 0.824 0.764
Hg: 0.439 0.115 0.879
Hg: 0.439 0.824 0.560
Hg: 0.440 0.379 0.264
Hg: 0.440 0.561 0.176
Hg: 0.560 0.439 0.824
Hg: 0.560 0.621 0.736
Hg: 0.561 0.176 0.440
Hg: 0.561 0.885 0.121
Hg: 0.615 0.176 0.236
Hg: 0.615 0.939 0.379
Hg: 0.621 0.385 0.061
Hg: 0.621 0.736 0.560
Hg: 0.676 0.061 0.940
Hg: 0.676 0.115 0.736
Hg: 0.736 0.560 0.621
Hg: 0.736 0.676 0.115
Hg: 0.764 0.385 0.824
Hg: 0.764 0.879 0.940
Hg: 0.824 0.560 0.439
Hg: 0.824 0.764 0.385
Hg: 0.879 0.439 0.115
Hg: 0.879 0.940 0.764
Hg: 0.885 0.121 0.561
Hg: 0.885 0.264 0.324
Hg: 0.939 0.060 0.324
Hg: 0.939 0.379 0.615
Hg: 0.940 0.676 0.061
Hg: 0.940 0.764 0.879
Se: 0.000 0.000 0.000
Se: 0.000 0.000 0.500
Se: 0.000 0.500 0.000
Se: 0.000 0.500 0.500
Se: 0.125 0.750 0.875
Se: 0.125 0.875 0.250
Se: 0.250 0.125 0.875
Se: 0.250 0.625 0.375
Se: 0.375 0.250 0.625
Se: 0.375 0.625 0.750
Se: 0.500 0.000 0.000
Se: 0.500 0.000 0.500
Se: 0.500 0.500 0.000
Se: 0.500 0.500 0.500
Se: 0.625 0.375 0.250
Se: 0.625 0.750 0.375
Se: 0.750 0.375 0.625
Se: 0.750 0.875 0.125
Se: 0.875 0.125 0.750
Se: 0.875 0.250 0.125
S: 0.125 0.250 0.375
S: 0.125 0.375 0.750
S: 0.250 0.375 0.125
S: 0.250 0.875 0.625
S: 0.375 0.125 0.250
S: 0.375 0.750 0.125
S: 0.625 0.250 0.875
S: 0.625 0.875 0.750
S: 0.750 0.125 0.375
S: 0.750 0.625 0.875
S: 0.875 0.625 0.250
S: 0.875 0.750 0.625

Computed properties:
ΔE_f (raw) in eV per formula unit: 1.34

A geometry-optimized SmTlPb structure, computed with PBE.

Unit cell a=8.642 b=8.642 c=4.501 alpha=90.00 beta=90.00 gamma=148.37
Sites, in units of the cell vectors:
Sm: 0.092 0.908 0.750
Sm: 0.908 0.092 0.250
Tl: 0.256 0.744 0.250
Tl: 0.744 0.256 0.750
Pb: 0.428 0.572 0.750
Pb: 0.572 0.428 0.250

Computed properties:
E above lowest polymorph in meV/atom: 0
Calculated formation energy in eV/atom: -0.349

no.,E_tot (eV/atom),Fermi-level density of states (states/eV/f.u.)
1,-2.00,2.79
2,-1.60,6.74
3,-3.95,2.36